Here is crystalline In4Hg2Pb3 at its relaxed geometry from Alexandria via LeMat-Bulk. Energies are from PBE-GGA.

abc: 5.428 5.428 10.059
angles: 90.00 90.00 120.00
Fractional coordinates of all 9 atoms:
In  0.000  0.000  0.176
In  0.000  0.000  0.824
In  0.333  0.667  0.610
In  0.667  0.333  0.390
Hg  0.333  0.667  0.284
Hg  0.667  0.333  0.716
Pb  0.000  0.000  0.500
Pb  0.333  0.667  0.942
Pb  0.667  0.333  0.058

- Mass density: 9.6 g/cm³
- Energy of formation: 0.014 eV/atom
- Total energy: -2.51 eV per atom
- Symmetry: No. 164